1.
Compound: SiPdO2
Source: the Alexandria database
Functional: PBE
Structure: relaxed

abc: 2.6703 2.6703 24.1355
angles: 90.00 90.00 120.00
Last column: nearest neighbours and their distance in Å.
Space group R-3m (No. 166, hexagonal axes)
One atom of each set of equivalent atoms:
Si1 0.0000 0.0000 0.0000 (multiplicity 3)  6 O 1.79
Pd1 0.0000 0.0000 0.5000 (multiplicity 3)  6 Pd 2.67
O1 0.0000 0.0000 0.3713 (multiplicity 6)  3 Si 1.79

=====

2.
Compound: SiPdO3
Source: the Alexandria database
Functional: PBE
Structure: relaxed

abc: 3.9011 3.9011 3.9011
angles: 90.00 90.00 90.00
Last column: nearest neighbours and their distance in Å.
Space group Pm-3m (No. 221)
One atom of each set of equivalent atoms:
Si1 0.0000 0.0000 0.0000 (multiplicity 1)  12 O 2.76
Pd1 0.5000 0.5000 0.5000 (multiplicity 1)  6 O 1.95
O1 0.0000 0.5000 0.5000 (multiplicity 3)  2 Pd 1.95

=====

3.
Compound: SiPdO3
Source: the Alexandria database
Functional: PBE
Structure: relaxed

abc: 3.5642 3.5642 3.5642
angles: 90.00 90.00 90.00
Last column: nearest neighbours and their distance in Å.
Space group Pm-3m (No. 221)
One atom of each set of equivalent atoms:
Si1 0.0000 0.0000 0.0000 (multiplicity 1)  6 O 1.78
Pd1 0.5000 0.5000 0.5000 (multiplicity 1)  12 O 2.52
O1 0.0000 0.0000 0.5000 (multiplicity 3)  2 Si 1.78

=====

no.,formation energy from raw total energies (eV/atom),total moment (μB/cell)
1,-1.55,0.00
2,0.13,0.00
3,-1.14,2.00